Computed, not measured: crystalline Li2CoBiF8 at its relaxed geometry at the PBE+U level of DFT.

Results
Spin magnetization ... 0.169 μB per atom
Calculated total energy ... -4.689 eV/atom
SG ... P-1

POSCAR file:
```
Li2CoBiF8
1.0
-3.3544 -3.4410 -0.2010
0.6304 -0.7819 -4.6907
4.4819 -4.9575 1.1256
F Bi Co Li
8 1 1 2
Direct
0.1985 0.7971 0.7805
0.6819 0.6780 0.5043
0.7893 0.1995 0.7776
0.7459 0.7407 0.0249
0.2541 0.2593 0.9751
0.8015 0.2029 0.2195
0.3181 0.3220 0.4957
0.2107 0.8005 0.2224
0.0000 0.0000 0.5000
0.0000 0.0000 0.0000
0.4641 0.4640 0.7404
0.5359 0.5360 0.2596
```